Entry 1:
Material: RbTl2CuBr8
Method: DFT, PBE
State: optimized geometry

a b c (Å): 8.2737 8.2737 9.4487
angles (deg): 112.25 112.25 53.47
Sites, in units of the cell vectors:
1 Rb 0.0000 0.0000 0.0000
2 Tl 0.1905 0.1905 0.6545
3 Tl 0.8095 0.8095 0.3455
4 Cu 0.5000 0.5000 0.5000
5 Br 0.1836 0.6443 0.2903
6 Br 0.1968 0.1968 0.3820
7 Br 0.3557 0.8164 0.7097
8 Br 0.3745 0.3745 0.8745
9 Br 0.6255 0.6255 0.1255
10 Br 0.6443 0.1836 0.2903
11 Br 0.8032 0.8032 0.6180
12 Br 0.8164 0.3557 0.7097

Summary:
The calculation puts the total energy at -30.74 eV for the cell shown. The value obtained for the energy relative to the elements, uncorrected is -7.56 eV/f.u. Its space group is C2/m. As for the calculated volume: 470.71 Å³ per cell. Its magnetization is 0.00 μB/f.u.

Entry 2:
Material: Rb3Tl3CuBr8
Method: DFT, PBE
State: optimized geometry

a b c (Å): 9.4843 9.4843 9.5360
angles (deg): 119.20 119.20 61.00
Sites, in units of the cell vectors:
1 Rb 0.0000 0.0000 0.0000
2 Rb 0.0000 0.5000 0.5000
3 Rb 0.5000 0.0000 0.5000
4 Tl 0.0000 0.5000 0.0000
5 Tl 0.5000 0.0000 0.0000
6 Tl 0.5000 0.5000 0.5000
7 Cu 0.5000 0.5000 0.0000
8 Br 0.2517 0.2517 0.2473
9 Br 0.2922 0.7020 0.2078
10 Br 0.2980 0.7078 0.7922
11 Br 0.3158 0.3158 0.8199
12 Br 0.6842 0.6842 0.1801
13 Br 0.7020 0.2922 0.2078
14 Br 0.7078 0.2980 0.7922
15 Br 0.7483 0.7483 0.7527

Summary:
The calculation puts the total energy at -43.32 eV for the cell shown. The value obtained for the energy relative to the elements, uncorrected is -15.84 eV/f.u. Its space group is C2/m. As for the calculated volume: 618.34 Å³ per cell. Its magnetization is 1.06 μB/f.u.

Entry 3:
Material: Rb2TlCu2Br7
Method: DFT, PBE
State: optimized geometry

a b c (Å): 5.2208 5.2208 14.0125
angles (deg): 100.70 100.70 90.01
Sites, in units of the cell vectors:
1 Rb 0.1787 0.1787 0.3587
2 Rb 0.8213 0.8213 0.6413
3 Tl 0.0000 0.0000 0.0000
4 Cu 0.4052 0.4052 0.8092
5 Cu 0.5948 0.5948 0.1908
6 Br 0.0900 0.5900 0.1807
7 Br 0.3110 0.3110 0.6207
8 Br 0.4100 0.9100 0.8193
9 Br 0.5000 0.5000 0.0000
10 Br 0.5900 0.0900 0.1807
11 Br 0.6890 0.6890 0.3793
12 Br 0.9100 0.4100 0.8193

Summary:
The calculation puts the total energy at -34.44 eV for the cell shown. The value obtained for the energy relative to the elements, uncorrected is -10.24 eV/f.u. Its space group is C2/m. As for the calculated volume: 368.55 Å³ per cell. Its magnetization is 0.00 μB/f.u.

Entry 4:
Material: RbTmCuBr5
Method: DFT, PBE
State: optimized geometry

a b c (Å): 7.7670 7.7670 10.4654
angles (deg): 103.64 103.64 106.04
Sites, in units of the cell vectors:
1 Rb 0.1494 0.8506 0.7500
2 Rb 0.8506 0.1494 0.2500
3 Tm 0.5000 0.5000 0.0000
4 Tm 0.5000 0.5000 0.5000
5 Cu 0.1909 0.8091 0.2500
6 Cu 0.8091 0.1909 0.7500
7 Br 0.1247 0.2688 0.9274
8 Br 0.1914 0.5979 0.3928
9 Br 0.2688 0.1247 0.4274
10 Br 0.4021 0.8086 0.1072
11 Br 0.4251 0.5749 0.7500
12 Br 0.5749 0.4251 0.2500
13 Br 0.5979 0.1914 0.8928
14 Br 0.7312 0.8753 0.5726
15 Br 0.8086 0.4021 0.6072
16 Br 0.8753 0.7312 0.0726

Summary:
The calculation puts the total energy at -58.63 eV for the cell shown. The value obtained for the energy relative to the elements, uncorrected is -11.41 eV/f.u. Its space group is C2/c. As for the calculated volume: 558.19 Å³ per cell. Its magnetization is 0.15 μB/f.u.